Arrangement i

A geometry-optimized Tl8Cd2Hg structure. Source: the Alexandria database, functional PBE.

abc: 8.330 8.330 5.516
angles: 101.10 101.10 73.88
Fractional coordinates of all 11 atoms:
Tl1 0.111 0.111 0.806
Tl2 0.148 0.693 0.709
Tl3 0.257 0.257 0.392
Tl4 0.307 0.852 0.291
Tl5 0.693 0.148 0.709
Tl6 0.743 0.743 0.608
Tl7 0.852 0.307 0.291
Tl8 0.889 0.889 0.194
Cd1 0.374 0.374 0.968
Cd2 0.626 0.626 0.032
Hg1 0.500 0.500 0.500

Results
Crystal system: monoclinic

Arrangement ii

A geometry-optimized Tl8Cd2Hg structure. Source: the Alexandria database, functional PBE.

abc: 8.593 8.593 8.623
angles: 120.11 120.11 37.43
Fractional coordinates of all 11 atoms:
Tl1 0.000 0.000 0.190
Tl2 0.000 0.000 0.810
Tl3 0.142 0.142 0.642
Tl4 0.354 0.354 0.648
Tl5 0.355 0.355 0.061
Tl6 0.645 0.645 0.939
Tl7 0.646 0.646 0.352
Tl8 0.858 0.858 0.358
Cd1 0.209 0.209 0.208
Cd2 0.791 0.791 0.792
Hg1 0.500 0.500 0.500

Results
Crystal system: monoclinic

The winner here is arrangement ii, beating the second structure by 54 meV per atom.

Arrangement i

A geometry-optimized Tl2Cd3Hg structure. Source: the Alexandria database, functional PBE.

abc: 6.012 6.012 6.259
angles: 119.83 119.83 60.26
Fractional coordinates of all 6 atoms:
Tl1 0.126 0.126 0.377
Tl2 0.874 0.874 0.623
Cd1 0.000 0.500 0.000
Cd2 0.500 0.000 0.000
Cd3 0.500 0.500 0.000
Hg1 0.500 0.500 0.500

Results
Crystal system: monoclinic

Arrangement ii

A geometry-optimized Tl2Cd3Hg structure. Source: the Alexandria database, functional PBE.

abc: 7.099 7.099 6.418
angles: 90.00 90.00 90.39
Fractional coordinates of all 12 atoms:
Tl1 0.054 0.600 0.750
Tl2 0.400 0.946 0.750
Tl3 0.600 0.054 0.250
Tl4 0.946 0.400 0.250
Cd1 0.000 0.000 0.000
Cd2 0.000 0.000 0.500
Cd3 0.346 0.346 0.000
Cd4 0.346 0.346 0.500
Cd5 0.654 0.654 0.000
Cd6 0.654 0.654 0.500
Hg1 0.262 0.738 0.250
Hg2 0.738 0.262 0.750

Results
Crystal system: orthorhombic

The winner here is arrangement i, beating the second structure by 32 meV per atom.

Arrangement i

A geometry-optimized Tl5Cd2Hg12 structure. Source: the Alexandria database, functional PBE.

abc: 10.176 10.176 8.760
angles: 108.02 108.02 38.08
Fractional coordinates of all 19 atoms:
Tl1 0.000 0.000 0.000
Tl2 0.233 0.233 0.587
Tl3 0.332 0.332 0.315
Tl4 0.668 0.668 0.685
Tl5 0.767 0.767 0.413
Cd1 0.264 0.736 0.500
Cd2 0.736 0.264 0.500
Hg1 0.061 0.566 0.930
Hg2 0.106 0.106 0.758
Hg3 0.147 0.646 0.688
Hg4 0.354 0.853 0.312
Hg5 0.434 0.939 0.070
Hg6 0.456 0.456 0.125
Hg7 0.544 0.544 0.875
Hg8 0.566 0.061 0.930
Hg9 0.646 0.147 0.688
Hg10 0.853 0.354 0.312
Hg11 0.894 0.894 0.242
Hg12 0.939 0.434 0.070

Results
Crystal system: monoclinic

Arrangement ii

A geometry-optimized Tl5Cd2Hg12 structure. Source: the Alexandria database, functional PBE.

abc: 12.322 12.322 5.328
angles: 101.54 101.54 42.58
Fractional coordinates of all 19 atoms:
Tl1 0.000 0.000 0.000
Tl2 0.181 0.181 0.178
Tl3 0.298 0.298 0.807
Tl4 0.702 0.702 0.193
Tl5 0.819 0.819 0.822
Cd1 0.251 0.749 0.500
Cd2 0.749 0.251 0.500
Hg1 0.066 0.540 0.310
Hg2 0.096 0.096 0.597
Hg3 0.211 0.623 0.920
Hg4 0.377 0.789 0.080
Hg5 0.409 0.409 0.410
Hg6 0.460 0.934 0.690
Hg7 0.540 0.066 0.310
Hg8 0.591 0.591 0.590
Hg9 0.623 0.211 0.920
Hg10 0.789 0.377 0.080
Hg11 0.904 0.904 0.403
Hg12 0.934 0.460 0.690

Results
Crystal system: monoclinic

The winner here is arrangement ii, beating the second structure by 12 meV per atom.

Arrangement i

A geometry-optimized Tl3CdHg4 structure. Source: the Alexandria database, functional PBE.

abc: 3.589 3.589 17.307
angles: 90.00 90.00 90.00
Fractional coordinates of all 8 atoms:
Tl1 0.000 0.000 0.000
Tl2 0.000 0.000 0.259
Tl3 0.000 0.000 0.741
Cd1 0.000 0.000 0.500
Hg1 0.500 0.500 0.129
Hg2 0.500 0.500 0.388
Hg3 0.500 0.500 0.612
Hg4 0.500 0.500 0.871

Results
Crystal system: tetragonal

Arrangement ii

A geometry-optimized Tl3CdHg4 structure. Source: the Alexandria database, functional PBE.

abc: 3.502 5.099 12.567
angles: 90.00 90.00 90.00
Fractional coordinates of all 8 atoms:
Tl1 0.000 0.000 0.000
Tl2 0.000 0.500 0.341
Tl3 0.500 0.000 0.504
Cd1 0.500 0.500 0.835
Hg1 0.000 0.000 0.752
Hg2 0.000 0.500 0.610
Hg3 0.500 0.000 0.241
Hg4 0.500 0.500 0.090

Results
Crystal system: orthorhombic

The winner here is arrangement i, beating the second structure by 16 meV per atom.

Arrangement i

A geometry-optimized Tl8Cd2Hg3 structure. Source: the Alexandria database, functional PBE.

abc: 9.198 9.198 6.015
angles: 103.99 103.99 54.73
Fractional coordinates of all 13 atoms:
Tl1 0.086 0.673 0.989
Tl2 0.100 0.100 0.458
Tl3 0.317 0.317 0.398
Tl4 0.327 0.914 0.011
Tl5 0.673 0.086 0.989
Tl6 0.683 0.683 0.602
Tl7 0.900 0.900 0.542
Tl8 0.914 0.327 0.011
Cd1 0.263 0.263 0.855
Cd2 0.737 0.737 0.145
Hg1 0.316 0.684 0.500
Hg2 0.500 0.500 0.000
Hg3 0.684 0.316 0.500

Results
Crystal system: monoclinic

Arrangement ii

A geometry-optimized Tl8Cd2Hg3 structure. Source: the Alexandria database, functional PBE.

abc: 9.104 5.185 9.185
angles: 90.00 110.04 90.00
Fractional coordinates of all 13 atoms:
Tl1 0.111 0.000 0.370
Tl2 0.128 0.500 0.879
Tl3 0.366 0.000 0.111
Tl4 0.370 0.500 0.632
Tl5 0.630 0.500 0.368
Tl6 0.634 0.000 0.889
Tl7 0.872 0.500 0.121
Tl8 0.889 0.000 0.630
Cd1 0.255 0.000 0.750
Cd2 0.745 0.000 0.250
Hg1 0.244 0.500 0.249
Hg2 0.500 0.000 0.500
Hg3 0.756 0.500 0.751

Results
Crystal system: monoclinic

The winner here is arrangement ii, beating the second structure by 9 meV per atom.

Arrangement i

A geometry-optimized Tl2Cd2Hg7 structure. Source: the Alexandria database, functional PBE.

abc: 9.115 9.115 9.115
angles: 151.80 66.18 121.50
Fractional coordinates of all 11 atoms:
Tl1 0.000 0.000 0.000
Tl2 0.687 0.187 0.500
Cd1 0.293 0.981 0.312
Cd2 0.669 0.981 0.688
Hg1 0.093 0.252 0.841
Hg2 0.146 0.484 0.662
Hg3 0.311 0.811 0.500
Hg4 0.410 0.252 0.159
Hg5 0.554 0.717 0.837
Hg6 0.822 0.484 0.338
Hg7 0.879 0.717 0.163

Results
Crystal system: orthorhombic

Arrangement ii

A geometry-optimized Tl2Cd2Hg7 structure. Source: the Alexandria database, functional PBE.

abc: 7.709 7.709 5.965
angles: 109.05 109.05 98.09
Fractional coordinates of all 11 atoms:
Tl1 0.147 0.853 0.000
Tl2 0.853 0.147 0.000
Cd1 0.320 0.320 0.503
Cd2 0.680 0.680 0.497
Hg1 0.000 0.000 0.500
Hg2 0.077 0.578 0.321
Hg3 0.350 0.350 0.027
Hg4 0.422 0.923 0.679
Hg5 0.578 0.077 0.321
Hg6 0.650 0.650 0.973
Hg7 0.923 0.422 0.679

Results
Crystal system: monoclinic

The winner here is arrangement i, beating the second structure by 21 meV per atom.

Arrangement i

A geometry-optimized Tl2Cd2Hg3 structure. Source: the Alexandria database, functional PBE.

abc: 7.889 7.889 8.269
angles: 112.50 112.50 24.19
Fractional coordinates of all 7 atoms:
Tl1 0.088 0.088 0.416
Tl2 0.912 0.912 0.584
Cd1 0.369 0.369 0.183
Cd2 0.631 0.631 0.817
Hg1 0.286 0.286 0.768
Hg2 0.500 0.500 0.000
Hg3 0.714 0.714 0.232

Results
Crystal system: monoclinic

Arrangement ii

A geometry-optimized Tl2Cd2Hg3 structure. Source: the Alexandria database, functional PBE.

abc: 7.425 7.425 7.942
angles: 108.37 108.37 27.33
Fractional coordinates of all 7 atoms:
Tl1 0.073 0.073 0.213
Tl2 0.927 0.927 0.787
Cd1 0.348 0.348 0.082
Cd2 0.652 0.652 0.918
Hg1 0.213 0.213 0.642
Hg2 0.500 0.500 0.500
Hg3 0.787 0.787 0.358

Results
Crystal system: monoclinic

The winner here is arrangement ii, beating the second structure by 12 meV per atom.

Arrangement i

A geometry-optimized Tl4CdHg2 structure. Source: the Alexandria database, functional PBE.

abc: 6.536 6.536 6.536
angles: 110.23 110.23 107.96
Fractional coordinates of all 7 atoms:
Tl1 0.000 0.000 0.500
Tl2 0.000 0.500 0.000
Tl3 0.500 0.000 0.000
Tl4 0.500 0.500 0.500
Cd1 0.000 0.000 0.000
Hg1 0.000 0.500 0.500
Hg2 0.500 0.000 0.500

Results
Crystal system: tetragonal

Arrangement ii

A geometry-optimized Tl4CdHg2 structure. Source: the Alexandria database, functional PBE.

abc: 8.936 8.936 8.936
angles: 143.35 143.35 52.80
Fractional coordinates of all 7 atoms:
Tl1 0.000 0.500 0.500
Tl2 0.193 0.193 0.000
Tl3 0.500 0.000 0.500
Tl4 0.807 0.807 0.000
Cd1 0.000 0.000 0.000
Hg1 0.382 0.382 0.000
Hg2 0.618 0.618 0.000

Results
Crystal system: tetragonal

The winner here is arrangement i, beating the second structure by 122 meV per atom.

Arrangement i

A geometry-optimized TlCd4Hg8 structure. Source: the Alexandria database, functional PBE.

abc: 8.188 8.188 8.188
angles: 60.00 60.00 60.00
Fractional coordinates of all 13 atoms:
Tl1 0.000 0.000 0.000
Cd1 0.203 0.599 0.599
Cd2 0.599 0.203 0.599
Cd3 0.599 0.599 0.203
Cd4 0.599 0.599 0.599
Hg1 0.345 0.345 0.345
Hg2 0.345 0.345 0.966
Hg3 0.345 0.966 0.345
Hg4 0.439 0.854 0.854
Hg5 0.854 0.439 0.854
Hg6 0.854 0.854 0.439
Hg7 0.854 0.854 0.854
Hg8 0.966 0.345 0.345

Results
Crystal system: cubic

Arrangement ii

A geometry-optimized TlCd4Hg8 structure. Source: the Alexandria database, functional PBE.

abc: 9.414 9.414 13.916
angles: 127.79 127.79 21.23
Fractional coordinates of all 13 atoms:
Tl1 0.000 0.000 0.000
Cd1 0.137 0.137 0.360
Cd2 0.321 0.321 0.226
Cd3 0.644 0.644 0.751
Cd4 0.818 0.818 0.515
Hg1 0.004 0.004 0.768
Hg2 0.314 0.314 0.935
Hg3 0.324 0.324 0.718
Hg4 0.449 0.449 0.498
Hg5 0.627 0.627 0.527
Hg6 0.674 0.674 0.993
Hg7 0.682 0.682 0.225
Hg8 0.936 0.936 0.186

Results
Crystal system: monoclinic

The winner here is arrangement ii, beating the second structure by 66 meV per atom.

Arrangement i

A geometry-optimized Tl4CdHg4 structure. Source: the Alexandria database, functional PBE.

abc: 7.305 7.305 7.305
angles: 112.80 112.80 103.01
Fractional coordinates of all 9 atoms:
Tl1 0.000 0.500 0.500
Tl2 0.168 0.168 0.000
Tl3 0.500 0.000 0.500
Tl4 0.832 0.832 0.000
Cd1 0.500 0.500 0.000
Hg1 0.105 0.577 0.000
Hg2 0.423 0.423 0.528
Hg3 0.577 0.105 0.000
Hg4 0.895 0.895 0.472

Results
Crystal system: tetragonal

Arrangement ii

A geometry-optimized Tl4CdHg4 structure. Source: the Alexandria database, functional PBE.

abc: 8.589 8.589 8.589
angles: 92.54 92.54 155.68
Fractional coordinates of all 9 atoms:
Tl1 0.007 0.325 0.332
Tl2 0.325 0.993 0.317
Tl3 0.675 0.007 0.683
Tl4 0.993 0.675 0.668
Cd1 0.000 0.000 0.000
Hg1 0.332 0.339 0.670
Hg2 0.339 0.668 0.007
Hg3 0.661 0.332 0.993
Hg4 0.668 0.661 0.330

Results
Crystal system: tetragonal

The winner here is arrangement ii, beating the second structure by 78 meV per atom.